1.
Na2V2GeO6 after structural relaxation. Source: Alexandria via LeMat-Bulk, functional PBE with a Hubbard U.

abc: 4.987 4.987 5.772
angles: 97.94 97.94 115.78
Positions (direct):
V 0.640 0.360 0.500
V 0.360 0.640 0.500
O 0.056 0.383 0.681
O 0.383 0.056 0.681
O 0.617 0.944 0.319
O 0.761 0.761 0.712
O 0.239 0.239 0.288
O 0.944 0.617 0.319
Ge 0.000 0.000 0.500
Na 0.820 0.180 0.000
Na 0.180 0.820 0.000

* magnetic moment: 0.0 μB per formula unit
* E_tot: -6.41 eV per atom

***

2.
NaVGe2O6 after structural relaxation. Source: Alexandria via LeMat-Bulk, functional PBE with a Hubbard U.

abc: 5.196 6.854 6.854
angles: 88.65 83.96 83.96
Each line ends with the local moment (μB).
Positions (direct):
O 0.846 0.010 0.242  0.00
O 0.901 0.382 0.835  -0.01
O 0.106 0.290 0.426  0.00
O 0.401 0.835 0.382  -0.01
O 0.346 0.242 0.010  0.00
O 0.894 0.710 0.574  0.00
O 0.394 0.574 0.710  0.00
O 0.606 0.426 0.290  0.00
O 0.599 0.165 0.618  -0.01
O 0.154 0.990 0.758  0.00
O 0.654 0.758 0.990  0.00
O 0.099 0.618 0.165  -0.01
Na 0.750 0.082 0.918  0.00
Na 0.250 0.918 0.082  0.00
Ge 0.283 0.400 0.207  0.01
Ge 0.717 0.600 0.793  0.01
Ge 0.217 0.793 0.600  0.01
Ge 0.783 0.207 0.400  0.01
V 0.750 0.725 0.275  1.91
V 0.250 0.275 0.725  1.91

* magnetic moment: 2.0 μB per formula unit
* E_tot: -6.54 eV per atom

***

3.
NaVGeO4 after structural relaxation. Source: Alexandria via LeMat-Bulk, functional PBE with a Hubbard U.

abc: 5.233 5.233 6.753
angles: 90.00 90.00 115.63
Each line ends with the local moment (μB).
Positions (direct):
O 0.220 0.293 0.750  -0.01
O 0.282 0.718 0.456  -0.02
O 0.718 0.282 0.956  -0.02
O 0.780 0.707 0.250  -0.01
O 0.707 0.780 0.750  -0.01
O 0.718 0.282 0.544  -0.02
O 0.282 0.718 0.044  -0.02
O 0.293 0.220 0.250  -0.01
Ge 0.162 0.838 0.250  0.02
Ge 0.838 0.162 0.750  0.02
Na 0.822 0.178 0.250  0.00
Na 0.178 0.822 0.750  0.00
V 0.500 0.500 0.000  1.93
V 0.500 0.500 0.500  1.93

* magnetic moment: 2.0 μB per formula unit
* E_tot: -6.58 eV per atom